5
Lattice="-0.712 5.713 0.044 -3.993 -0.529 4.114 4.086 0.479 4.028" Properties=species:S:1:pos:R:3 comment="Cs3TeF | Alexandria | PBEsol | optimized geometry" total_magnetization_mub_per_fu=0.00 energy_ev_per_cell=-16.804 raw_formation_energy_ev_per_atom=-1.70 space_group=Pm-3m pbc="T T T"
Te -0.310 2.831 4.092
F 0.000 0.000 0.000
Cs -0.356 2.856 0.022
Cs -1.996 -0.265 2.057
Cs 2.043 0.239 2.014